[1]
First-principles (PBE-GGA) data for an optimized crystal structure of Cu4Ag5, as listed in OQMD via LeMat-Bulk.

Lattice parameters (Å, degrees): 5.8833 5.8833 8.8037 104.45 104.45 27.88
With the nearest neighbours (Å) after each atom.
Element x y z (fractional)
Cu (0.0121, 0.0121, 0.2002)  4 Cu 2.59-2.83, 7 Ag 2.68-2.80
Cu (0.3305, 0.3305, 0.6007)  6 Cu 2.59-2.83, 5 Ag 2.70-2.87
Cu (0.6695, 0.6695, 0.3993)  6 Cu 2.59-2.83, 5 Ag 2.70-2.87
Cu (0.9879, 0.9879, 0.7998)  4 Cu 2.59-2.83, 7 Ag 2.68-2.80
Ag (0.0000, 0.0000, 0.5000)  6 Cu 2.68-2.73, 6 Ag 2.83-2.85
Ag (0.3212, 0.3212, 0.2714)  5 Cu 2.70-2.87, 7 Ag 2.83-2.88
Ag (0.3591, 0.3591, 0.9618)  4 Cu 2.70-2.75, 5 Ag 2.83-2.88
Ag (0.6409, 0.6409, 0.0382)  4 Cu 2.70-2.75, 5 Ag 2.83-2.88
Ag (0.6788, 0.6788, 0.7286)  5 Cu 2.70-2.87, 7 Ag 2.83-2.88

Results
final energy = -28.23 eV per formula unit
crystal system = monoclinic
density = 9.57 g cm⁻³
ΔE to the lowest computed polymorph = 46 meV per atom
formation energy = 0.084 eV/atom



[2]
First-principles (PBE-GGA) data for an optimized crystal structure of Cu5Ag3, as listed in OQMD via LeMat-Bulk.

Lattice parameters (Å, degrees): 3.7624 3.8860 7.7292 90.00 90.00 90.00
With the nearest neighbours (Å) after each atom.
Element x y z (fractional)
Cu (0.0000, 0.0000, 0.0000)  4 Ag 2.64, 8 Cu 2.66-2.70
Cu (0.0000, 0.0000, 0.5000)  8 Ag 2.70-2.75, 4 Cu 2.83
Cu (0.0000, 0.5000, 0.2342)  6 Cu 2.61-2.83, 6 Ag 2.70-2.79
Cu (0.0000, 0.5000, 0.7658)  6 Cu 2.61-2.83, 6 Ag 2.70-2.79
Cu (0.5000, 0.5000, 0.0000)  8 Cu 2.61-2.70, 4 Ag 2.69
Ag (0.5000, 0.0000, 0.2404)  10 Cu 2.64-2.75, 2 Ag 2.79
Ag (0.5000, 0.0000, 0.7596)  10 Cu 2.64-2.75, 2 Ag 2.79
Ag (0.5000, 0.5000, 0.5000)  8 Cu 2.70-2.79, 4 Ag 2.79

Results
final energy = -26.31 eV per formula unit
crystal system = orthorhombic
density = 9.42 g cm⁻³
ΔE to the lowest computed polymorph = 46 meV per atom
formation energy = 0.093 eV/atom



[3]
First-principles (PBE-GGA) data for an optimized crystal structure of Cu3Ag2, as listed in OQMD via LeMat-Bulk.

Lattice parameters (Å, degrees): 6.0131 3.8568 6.1798 90.00 91.76 90.00
With the nearest neighbours (Å) after each atom.
Element x y z (fractional)
Cu (0.0421, 0.2500, 0.3409)  8 Cu 2.54-2.81, 4 Ag 2.62-2.73
Cu (0.1321, 0.7500, 0.0381)  8 Cu 2.53-2.75, 4 Ag 2.75-2.82
Cu (0.2227, 0.2500, 0.7488)  6 Cu 2.54-2.71, 5 Ag 2.75-2.85
Cu (0.7773, 0.7500, 0.2512)  6 Cu 2.54-2.71, 5 Ag 2.75-2.85
Cu (0.8679, 0.2500, 0.9619)  8 Cu 2.53-2.75, 4 Ag 2.75-2.82
Cu (0.9579, 0.7500, 0.6591)  8 Cu 2.54-2.81, 4 Ag 2.62-2.73
Ag (0.3308, 0.7500, 0.4495)  6 Cu 2.62-2.78, 5 Ag 2.79-2.86
Ag (0.4436, 0.2500, 0.1448)  5 Ag 2.73-2.81, 7 Cu 2.73-2.85
Ag (0.5564, 0.7500, 0.8552)  5 Ag 2.73-2.81, 7 Cu 2.73-2.85
Ag (0.6692, 0.2500, 0.5505)  6 Cu 2.62-2.78, 5 Ag 2.79-2.86

Results
final energy = -16.37 eV per formula unit
crystal system = monoclinic
density = 9.42 g cm⁻³
ΔE to the lowest computed polymorph = 44 meV per atom
formation energy = 0.086 eV/atom



[4]
First-principles (PBE-GGA) data for an optimized crystal structure of CuAg, as listed in OQMD via LeMat-Bulk.

Lattice parameters (Å, degrees): 4.8113 4.8113 11.6819 99.75 99.75 33.66
With the nearest neighbours (Å) after each atom.
Element x y z (fractional)
Cu (0.0000, 0.0000, 0.0000)  6 Cu 2.59-2.79, 6 Ag 2.79-2.80
Cu (0.0840, 0.0840, 0.7058)  4 Cu 2.58-2.79, 7 Ag 2.67-2.77
Cu (0.4141, 0.4141, 0.8130)  6 Cu 2.58-2.79, 5 Ag 2.67-2.73
Cu (0.5859, 0.5859, 0.1870)  6 Cu 2.58-2.79, 5 Ag 2.67-2.73
Cu (0.9160, 0.9160, 0.2942)  4 Cu 2.58-2.79, 7 Ag 2.67-2.77
Ag (0.2065, 0.2065, 0.3816)  5 Cu 2.69-2.73, 5 Ag 2.79-2.90
Ag (0.2963, 0.2963, 0.1062)  8 Cu 2.67-2.80, 4 Ag 2.79-2.84
Ag (0.5000, 0.5000, 0.5000)  4 Cu 2.77, 8 Ag 2.79-2.90
Ag (0.7037, 0.7037, 0.8938)  8 Cu 2.67-2.80, 4 Ag 2.79-2.84
Ag (0.7935, 0.7935, 0.6184)  5 Cu 2.69-2.73, 5 Ag 2.79-2.90

Results
final energy = -6.36 eV per formula unit
crystal system = monoclinic
density = 9.65 g cm⁻³
formation energy = 0.090 eV/atom